InRe2Au (PBE-GGA, optimized geometry); ΔH_f (0 K) = 1.8 eV/f.u.; DOS at the Fermi energy = 0.384 states/eV/atom
1.0
2.961 0.000 0.000
0.000 4.816 0.000
0.000 0.000 9.831
In Re Au
2 4 2
Direct
0.000 0.000 0.000 In
0.500 0.500 0.000 In
0.000 0.000 0.475 Re
0.000 0.500 0.262 Re
0.500 0.000 0.262 Re
0.500 0.500 0.475 Re
0.000 0.500 0.731 Au
0.500 0.000 0.731 Au